Entry 1:
DFT (PBE) results for a relaxed structure of MgCuMoRu.

Structure (POSCAR):
```
MgCuMoRu
1.0
0.000 3.087 3.087
3.087 0.000 3.087
3.087 3.087 0.000
Mg Cu Mo Ru
1 1 1 1
Cartesian
0.000 0.000 0.000
1.544 1.544 1.544
3.087 3.087 3.087
4.631 4.631 4.631
```

Output
- Calculated formation energy: 0.10 eV per atom
- Total magnetic moment: 0.00 μB per formula unit
- V: 59 Å³/cell

Entry 2:
DFT (PBE) results for a relaxed structure of MgTaCuMo2.

Structure (POSCAR):
```
MgTaCuMo2
1.0
4.532 0.000 0.000
0.000 4.532 0.000
0.000 0.000 4.698
Mg Ta Cu Mo
1 1 1 2
Cartesian
0.000 0.000 0.000
0.000 0.000 2.349
2.266 2.266 2.349
0.000 2.266 0.000
2.266 0.000 0.000
```

Output
- Calculated formation energy: 2.19 eV per atom
- Total magnetic moment: 0.00 μB per formula unit
- V: 97 Å³/cell

Entry 3:
DFT (PBE) results for a relaxed structure of MgCuN.

Structure (POSCAR):
```
MgCuN
1.0
6.166 0.000 0.000
0.000 3.142 0.000
0.000 0.000 6.658
Mg Cu N
4 4 4
Cartesian
0.230 0.785 1.200
2.853 2.356 4.529
3.313 0.785 2.129
5.935 2.356 5.457
0.993 0.785 3.612
2.089 2.356 0.284
4.076 0.785 6.374
5.172 2.356 3.045
1.279 0.785 5.693
1.803 2.356 2.364
4.362 0.785 4.294
4.886 2.356 0.965
```

Output
- E_form (uncorrected): 0.03 eV/atom
- Total magnetic moment: 0.00 μB per formula unit
- V: 129 Å³/cell

Entry 4:
DFT (PBE) results for a relaxed structure of MgCuN.

Structure (POSCAR):
```
MgCuN
1.0
3.609 -1.541 0.000
3.609 1.541 0.000
-3.426 0.000 6.526
Mg Cu N
2 2 2
Cartesian
-0.683 0.000 2.327
4.476 0.000 4.199
1.284 0.000 0.777
2.509 0.000 5.748
-0.609 0.000 4.514
4.401 0.000 2.012
```

Output
- E_form (uncorrected): -0.07 eV/atom
- Total magnetic moment: 0.00 μB per formula unit
- V: 73 Å³/cell

Entry 5:
DFT (PBE) results for a relaxed structure of MgCuN.

Structure (POSCAR):
```
MgCuN
1.0
1.813 1.047 6.679
-1.813 1.047 6.679
0.000 -2.093 6.679
Mg Cu N
2 2 2
Cartesian
0.000 0.000 0.000
0.000 0.000 8.811
0.000 0.000 4.895
0.000 0.000 16.956
0.000 0.000 2.954
0.000 0.000 6.781
```

Output
- E_form (uncorrected): -0.15 eV/atom
- Total magnetic moment: 0.00 μB per formula unit
- V: 76 Å³/cell

Entry 6:
DFT (PBE) results for a relaxed structure of MgCu3N.

Structure (POSCAR):
```
MgCu3N
1.0
4.462 0.000 0.000
0.000 4.462 0.000
0.000 0.000 4.462
Mg Cu N
1 3 1
Cartesian
0.000 0.000 0.000
0.000 0.000 2.231
0.000 2.231 0.000
2.231 0.000 0.000
2.231 2.231 2.231
```

Output
- E_form (uncorrected): 2.08 eV/atom
- Total magnetic moment: 0.00 μB per formula unit
- Energy above the lowest structure with this stoichiometry: 8.945 eV per formula unit
- V: 89 Å³/cell

Entry 7:
DFT (PBE) results for a relaxed structure of MgCuN.

Structure (POSCAR):
```
MgCuN
1.0
7.749 0.000 0.000
0.000 3.280 0.000
0.000 0.000 5.528
Mg Cu N
4 4 4
Cartesian
1.156 0.820 0.464
2.718 2.460 3.228
5.031 0.820 2.300
6.593 2.460 5.064
0.515 0.820 3.475
3.360 2.460 0.711
4.389 0.820 4.817
7.234 2.460 2.053
1.010 2.460 4.529
2.864 0.820 1.765
4.885 2.460 3.762
6.739 0.820 0.998
```

Output
- E_form (uncorrected): -0.11 eV/atom
- Total magnetic moment: 0.00 μB per formula unit
- V: 140 Å³/cell

Entry 8:
DFT (PBE) results for a relaxed structure of MgCuN.

Structure (POSCAR):
```
MgCuN
1.0
3.995 0.000 0.000
-1.998 3.460 0.000
0.000 0.000 4.709
Mg Cu N
2 2 2
Cartesian
0.000 2.307 1.177
1.998 1.153 3.531
0.000 0.000 0.000
0.000 0.000 2.354
0.000 2.307 3.531
1.998 1.153 1.177
```

Output
- E_form (uncorrected): 0.26 eV/atom
- Total magnetic moment: 0.00 μB per formula unit
- V: 65 Å³/cell

Entry 9:
DFT (PBE) results for a relaxed structure of MgCuN.

Structure (POSCAR):
```
MgCuN
1.0
4.475 0.000 0.000
-2.237 3.875 0.000
0.000 0.000 7.592
Mg Cu N
2 2 2
Cartesian
0.000 0.000 1.898
0.000 0.000 5.694
0.000 2.583 1.898
2.237 1.292 5.694
0.000 0.000 0.000
0.000 0.000 3.796
```

Output
- E_form (uncorrected): 1.43 eV/atom
- Total magnetic moment: 0.01 μB per formula unit
- V: 132 Å³/cell

Entry 10:
DFT (PBE) results for a relaxed structure of MgCuN.

Structure (POSCAR):
```
MgCuN
1.0
3.505 0.000 0.000
1.285 3.378 0.000
1.157 0.763 6.824
Mg Cu N
2 2 2
Cartesian
0.000 0.000 0.000
1.826 1.383 2.214
3.066 2.025 5.149
4.649 3.361 3.708
1.697 1.235 0.205
3.576 1.833 3.311
```

Output
- E_form (uncorrected): -0.15 eV/atom
- Total magnetic moment: 0.00 μB per formula unit
- V: 81 Å³/cell

Entry 11:
DFT (PBE) results for a relaxed structure of MgCuN.

Structure (POSCAR):
```
MgCuN
1.0
3.636 0.000 0.000
-1.818 3.149 0.000
0.000 0.000 3.721
Mg Cu N
1 1 1
Cartesian
0.000 0.000 0.000
1.818 1.050 1.860
1.818 1.050 0.000
```

Output
- E_form (uncorrected): -0.25 eV/atom
- Total magnetic moment: 0.00 μB per formula unit
- V: 43 Å³/cell

Entry 12:
DFT (PBE) results for a relaxed structure of MgCuN.

Structure (POSCAR):
```
MgCuN
1.0
1.853 -4.655 0.000
1.853 4.655 0.000
0.000 0.000 4.923
Mg Cu N
2 2 2
Cartesian
1.853 2.577 2.462
1.853 -2.577 0.000
1.853 0.059 0.611
1.853 -0.059 3.072
1.853 1.441 4.240
1.853 -1.441 1.779
```

Output
- E_form (uncorrected): -0.26 eV/atom
- Total magnetic moment: 0.00 μB per formula unit
- V: 85 Å³/cell

Entry 13:
DFT (PBE) results for a relaxed structure of MgCu2N.

Structure (POSCAR):
```
MgCu2N
1.0
0.000 2.880 2.880
2.880 0.000 2.880
2.880 2.880 0.000
Mg Cu N
1 2 1
Cartesian
0.000 0.000 0.000
1.440 1.440 1.440
4.321 4.321 4.321
2.880 2.880 2.880
```

Output
- E_form (uncorrected): 0.81 eV/atom
- Total magnetic moment: 0.00 μB per formula unit
- Energy above the lowest structure with this stoichiometry: 1.804 eV per formula unit
- V: 48 Å³/cell

Entry 14:
DFT (PBE) results for a relaxed structure of MgCu2N2.

Structure (POSCAR):
```
MgCu2N2
1.0
3.334 0.000 0.000
0.000 1.853 5.123
0.000 -1.853 5.123
Mg Cu N
1 2 2
Cartesian
0.000 0.000 0.000
1.667 0.000 3.748
1.667 0.000 6.970
0.000 0.000 6.089
1.667 0.000 8.855
```

Output
- E_form (uncorrected): 0.21 eV/atom
- Total magnetic moment: 0.00 μB per formula unit
- V: 63 Å³/cell

Entry 15:
DFT (PBE) results for a relaxed structure of Mg3CuN.

Structure (POSCAR):
```
Mg3CuN
1.0
4.234 0.000 0.000
0.000 4.234 0.000
0.000 0.000 4.234
Mg Cu N
3 1 1
Cartesian
0.000 0.000 2.117
0.000 2.117 0.000
2.117 0.000 0.000
2.117 2.117 2.117
0.000 0.000 0.000
```

Output
- E_form (uncorrected): -0.28 eV/atom
- Total magnetic moment: 0.00 μB per formula unit
- Energy above the lowest structure with this stoichiometry: 0.000 eV per formula unit
- V: 76 Å³/cell

Entry 16:
DFT (PBE) results for a relaxed structure of MgCuN.

Structure (POSCAR):
```
MgCuN
1.0
3.123 0.000 0.000
0.000 3.123 0.000
0.000 0.000 3.736
Mg Cu N
1 1 1
Cartesian
0.000 0.000 0.000
1.561 1.561 1.868
1.561 1.561 0.000
```

Output
- E_form (uncorrected): -0.26 eV/atom
- Total magnetic moment: 0.00 μB per formula unit
- V: 36 Å³/cell

Entry 17:
DFT (PBE) results for a relaxed structure of MgCuN.

Structure (POSCAR):
```
MgCuN
1.0
1.869 -2.861 0.000
1.869 2.861 0.000
0.000 0.000 6.786
Mg Cu N
2 2 2
Cartesian
0.000 0.000 0.000
0.000 0.000 3.393
1.869 0.730 5.089
1.869 -0.730 1.696
1.869 1.521 1.696
1.869 -1.521 5.089
```

Output
- E_form (uncorrected): 0.12 eV/atom
- Total magnetic moment: 0.00 μB per formula unit
- V: 73 Å³/cell

Entry 18:
DFT (PBE) results for a relaxed structure of MgCu3N.

Structure (POSCAR):
```
MgCu3N
1.0
3.990 0.000 0.000
0.000 3.990 0.000
0.000 0.000 3.990
Mg Cu N
1 3 1
Cartesian
0.000 0.000 0.000
0.000 1.995 1.995
1.995 0.000 1.995
1.995 1.995 0.000
1.995 1.995 1.995
```

Output
- E_form (uncorrected): 0.29 eV/atom
- Total magnetic moment: 0.00 μB per formula unit
- Energy above the lowest structure with this stoichiometry: 0.000 eV per formula unit
- V: 64 Å³/cell

Entry 19:
DFT (PBE) results for a relaxed structure of MgCuN.

Structure (POSCAR):
```
MgCuN
1.0
3.353 -2.223 0.000
3.353 2.223 0.000
-1.782 0.000 5.375
Mg Cu N
2 2 2
Cartesian
0.174 0.000 1.830
4.751 0.000 3.545
2.075 0.587 0.033
2.849 0.587 5.342
0.126 -0.507 3.865
4.799 -0.507 1.510
```

Output
- E_form (uncorrected): -0.11 eV/atom
- Total magnetic moment: 0.00 μB per formula unit
- V: 80 Å³/cell

Entry 20:
DFT (PBE) results for a relaxed structure of MgCuN.

Structure (POSCAR):
```
MgCuN
1.0
4.010 0.000 0.000
0.000 1.737 3.028
0.000 -1.737 3.028
Mg Cu N
1 1 1
Cartesian
0.000 0.000 0.000
2.005 0.000 2.021
2.005 0.000 0.020
```

Output
- E_form (uncorrected): 0.14 eV/atom
- Total magnetic moment: 0.00 μB per formula unit
- V: 42 Å³/cell